[1]
First-principles (GGA-PBE) data for crystalline CePmTl2 at its relaxed geometry, as listed in the Alexandria database.

Results
calculated volume = 116 Å³ per cell
formation energy from the elements = -30 kJ per mole of atoms
energy relative to the lowest polymorph listed for this composition = 0 meV/atom
spin magnetization = 1.23 μB/f.u.
DOS(E_F) = 8.6 states/eV/f.u.
E = -4.163 eV/atom

a = 3.5782 Å, b = 3.5782 Å, c = 9.0240 Å
α = 90.00°, β = 90.00°, γ = 90.00°
Each line ends with the local moment (μB).
Sites, in units of the cell vectors:
Tl: 0.0000 0.0000 0.7491  -0.01
Tl: 0.0000 0.0000 0.2509  -0.01
Ce: 0.5000 0.5000 0.0000  0.93
Pm: 0.5000 0.5000 0.5000  0.00

***

[2]
First-principles (GGA-PBE) data for crystalline CePm7Tl4 at its relaxed geometry, as listed in the Alexandria database.

Results
calculated volume = 381 Å³ per cell
formation energy from the elements = -5 kJ per mole of atoms
spin magnetization = 1.10 μB/f.u.
DOS(E_F) = 16.9 states/eV/f.u.
E = -4.109 eV/atom

a = 5.8556 Å, b = 9.3576 Å, c = 8.1277 Å
α = 69.68°, β = 68.89°, γ = 71.77°
Each line ends with the local moment (μB).
Sites, in units of the cell vectors:
Ce: 0.0000 0.0000 0.0000  0.66
Pm: 0.8003 0.8816 0.5177  0.04
Pm: 0.1997 0.1184 0.4823  0.04
Pm: 0.0675 0.5959 0.2690  0.00
Pm: 0.9325 0.4041 0.7310  0.00
Pm: 0.2556 0.6975 0.7913  0.02
Pm: 0.5000 0.0000 0.0000  0.06
Pm: 0.7444 0.3025 0.2087  0.02
Tl: 0.5498 0.2819 0.6186  0.00
Tl: 0.4502 0.7181 0.3814  0.00
Tl: 0.6841 0.6600 0.9719  0.00
Tl: 0.3159 0.3400 0.0281  0.00

***

[3]
First-principles (GGA-PBE) data for crystalline Ce2PmTl6 at its relaxed geometry, as listed in the Alexandria database.

Results
calculated volume = 259 Å³ per cell
formation energy from the elements = -16 kJ per mole of atoms
spin magnetization = 2.45 μB/f.u.
DOS(E_F) = 15.3 states/eV/f.u.
E = -3.594 eV/atom

a = 3.5334 Å, b = 9.1862 Å, c = 9.8587 Å
α = 117.77°, β = 111.00°, γ = 90.00°
Each line ends with the local moment (μB).
Sites, in units of the cell vectors:
Ce: 0.3329 0.6666 0.3332  1.03
Ce: 0.6671 0.3334 0.6668  1.03
Pm: 0.0000 0.0000 0.0000  -0.03
Tl: 0.8302 0.3327 0.3327  0.00
Tl: 0.1698 0.0000 0.6673  0.00
Tl: 0.1698 0.6673 0.6673  0.00
Tl: 0.5000 0.3323 0.0000  0.00
Tl: 0.8302 0.0000 0.3327  0.00
Tl: 0.5000 0.6677 0.0000  0.00

***

[4]
First-principles (GGA-PBE) data for crystalline CePm6Tl5 at its relaxed geometry, as listed in the Alexandria database.

Results
calculated volume = 377 Å³ per cell
formation energy from the elements = -17 kJ per mole of atoms
energy relative to the lowest polymorph listed for this composition = 106 meV/atom
spin magnetization = 1.96 μB/f.u.
DOS(E_F) = 17.7 states/eV/f.u.
E = -4.033 eV/atom

a = 6.2295 Å, b = 10.5689 Å, c = 7.9243 Å
α = 48.17°, β = 80.46°, γ = 75.62°
Each line ends with the local moment (μB).
Sites, in units of the cell vectors:
Ce: 0.0000 0.0000 0.0000  1.06
Pm: 0.7311 0.0927 0.3657  0.03
Pm: 0.2689 0.5416 0.3657  0.03
Pm: 0.2195 0.2781 0.0000  0.06
Pm: 0.7805 0.7219 0.0000  0.06
Pm: 0.7311 0.4584 0.6343  0.03
Pm: 0.2689 0.9073 0.6343  0.03
Tl: 0.5000 0.1342 0.7315  0.00
Tl: 0.0000 0.2991 0.4018  0.01
Tl: 0.5000 0.5000 0.0000  0.00
Tl: 0.0000 0.7009 0.5982  0.01
Tl: 0.5000 0.8658 0.2685  0.00